1.
A relaxed structure of ScBe2Sb. Source: the Alexandria database, functional GGA-PBE.

a = 3.7095 Å, b = 3.7764 Å, c = 9.3890 Å
α = 90.00°, β = 90.00°, γ = 90.00°
Space group Imm2 (No. 44)
Inequivalent atoms, fractional coordinates:
Sc: 0.0000 0.0000 0.0000 (multiplicity 2)
Be: 0.0000 0.0000 0.5790 (multiplicity 2)
Be: 0.0000 0.5000 0.2193 (multiplicity 2)
Sb: 0.0000 0.5000 0.7593 (multiplicity 2)

Output
The calculation puts the uncorrected formation energy at -0.1 eV/f.u. The crystal system is orthorhombic. The electronic total energy comes out at -4.509 eV per atom. The calculation puts the total magnetic moment at 0.0 μB per cell.

---

2.
A relaxed structure of ScBe2Sb. Source: the Alexandria database, functional GGA-PBE.

a = 4.0799 Å, b = 5.1901 Å, c = 6.3830 Å
α = 90.00°, β = 90.00°, γ = 90.00°
Space group Cmm2 (No. 35)
Inequivalent atoms, fractional coordinates:
Sc: 0.0000 0.0000 0.0000 (multiplicity 2)
Be: 0.0000 0.0000 0.4109 (multiplicity 2)
Be: 0.0000 0.5000 0.2759 (multiplicity 2)
Sb: 0.0000 0.5000 0.6741 (multiplicity 2)

Output
The calculation puts the uncorrected formation energy at 0.6 eV/f.u. The crystal system is orthorhombic. The electronic total energy comes out at -4.327 eV per atom. The calculation puts the total magnetic moment at 0.0 μB per cell.

---

3.
A relaxed structure of ScBe2Sb. Source: the Alexandria database, functional GGA-PBE.

a = 3.9660 Å, b = 3.9660 Å, c = 8.3219 Å
α = 90.00°, β = 90.00°, γ = 90.00°
Space group I4/mmm (No. 139)
Inequivalent atoms, fractional coordinates:
Sc: 0.0000 0.0000 0.0000 (multiplicity 2)
Be: 0.0000 0.5000 0.2500 (multiplicity 4)
Sb: 0.0000 0.0000 0.5000 (multiplicity 2)

Output
The calculation puts the uncorrected formation energy at 0.6 eV/f.u. The crystal system is tetragonal. The electronic total energy comes out at -4.332 eV per atom. The calculation puts the total magnetic moment at 0.0 μB per cell.